First-principles (PBEsol) data for a relaxed Na2CuReSn crystal, as listed in Alexandria via LeMat-Bulk.

Cell and atoms, written as CIF:
```
data_Na2CuReSn
_chemical_formula_sum 'Na2 Cu1 Re1 Sn1'
_symmetry_space_group_name_H-M 'P 1'
_symmetry_Int_Tables_number 1
_cell_length_a 5.504
_cell_length_b 5.504
_cell_length_c 5.052
_cell_angle_alpha 90.00
_cell_angle_beta 90.00
_cell_angle_gamma 90.00
loop_
_symmetry_equiv_pos_as_xyz
'x,y,z'
loop_
_atom_site_label
_atom_site_fract_x
_atom_site_fract_y
_atom_site_fract_z
_atom_site_occupancy
Na1 0.000 0.500 0.000 1
Na2 0.500 0.000 0.000 1
Cu1 0.000 0.000 0.500 1
Re1 0.500 0.500 0.500 1
Sn1 0.500 0.500 0.000 1
```

Properties
- size of the total moment (μB per formula unit) = 2.58
- mass density (g/cm3) = 4.50
- E_form (meV per atom) = 1530.8
- space group = P4/mmm (123)



First-principles (PBEsol) data for a relaxed Na2Cu2Rh crystal, as listed in Alexandria via LeMat-Bulk.

Cell and atoms, written as CIF:
```
data_Na2Cu2Rh
_chemical_formula_sum 'Na2 Cu2 Rh1'
_symmetry_space_group_name_H-M 'P 1'
_symmetry_Int_Tables_number 1
_cell_length_a 9.390
_cell_length_b 9.390
_cell_length_c 9.390
_cell_angle_alpha 160.52
_cell_angle_beta 160.52
_cell_angle_gamma 27.68
loop_
_symmetry_equiv_pos_as_xyz
'x,y,z'
loop_
_atom_site_label
_atom_site_fract_x
_atom_site_fract_y
_atom_site_fract_z
_atom_site_occupancy
Na1 0.107 0.107 0.000 1
Na2 0.893 0.893 0.000 1
Cu1 0.250 0.750 0.500 1
Cu2 0.750 0.250 0.500 1
Rh1 0.500 0.500 0.000 1
```

Properties
- size of the total moment (μB per formula unit) = 0.68
- mass density (g/cm3) = 4.98
- E_form (meV per atom) = 600.2
- space group = I4/mmm (139)



First-principles (PBEsol) data for a relaxed NaCu3Ru crystal, as listed in Alexandria via LeMat-Bulk.

Cell and atoms, written as CIF:
```
data_NaCu3Ru
_chemical_formula_sum 'Na1 Cu3 Ru1'
_symmetry_space_group_name_H-M 'P 1'
_symmetry_Int_Tables_number 1
_cell_length_a 4.205
_cell_length_b 4.205
_cell_length_c 4.205
_cell_angle_alpha 90.00
_cell_angle_beta 90.00
_cell_angle_gamma 90.00
loop_
_symmetry_equiv_pos_as_xyz
'x,y,z'
loop_
_atom_site_label
_atom_site_fract_x
_atom_site_fract_y
_atom_site_fract_z
_atom_site_occupancy
Na1 0.000 0.000 0.000 1
Cu1 0.000 0.000 0.500 1
Cu2 0.000 0.500 0.000 1
Cu3 0.500 0.000 0.000 1
Ru1 0.500 0.500 0.500 1
```

Properties
- size of the total moment (μB per formula unit) = 1.04
- mass density (g/cm3) = 7.03
- E_form (meV per atom) = 1716.5
- space group = Pm-3m (221)



First-principles (PBEsol) data for a relaxed Na4Cu2S3 crystal, as listed in Alexandria via LeMat-Bulk.

Cell and atoms, written as CIF:
```
data_Na4Cu2S3
_chemical_formula_sum 'Na32 Cu16 S24'
_symmetry_space_group_name_H-M 'P 1'
_symmetry_Int_Tables_number 1
_cell_length_a 19.221
_cell_length_b 19.221
_cell_length_c 19.221
_cell_angle_alpha 151.66
_cell_angle_beta 151.66
_cell_angle_gamma 40.52
loop_
_symmetry_equiv_pos_as_xyz
'x,y,z'
loop_
_atom_site_label
_atom_site_fract_x
_atom_site_fract_y
_atom_site_fract_z
_atom_site_occupancy
Na1 0.008 0.707 0.793 1
Na2 0.038 0.788 0.250 1
Na3 0.125 0.375 0.750 1
Na4 0.126 0.867 0.757 1
Na5 0.131 0.374 0.242 1
Na6 0.134 0.884 0.250 1
Na7 0.207 0.914 0.699 1
Na8 0.282 0.032 0.250 1
Na9 0.285 0.492 0.199 1
Na10 0.288 0.538 0.750 1
Na11 0.367 0.110 0.742 1
Na12 0.375 0.125 0.250 1
Na13 0.384 0.634 0.750 1
Na14 0.390 0.631 0.257 1
Na15 0.414 0.215 0.707 1
Na16 0.468 0.218 0.250 1
Na17 0.532 0.782 0.750 1
Na18 0.586 0.785 0.293 1
Na19 0.610 0.369 0.743 1
Na20 0.616 0.366 0.250 1
Na21 0.625 0.875 0.750 1
Na22 0.633 0.890 0.258 1
Na23 0.712 0.462 0.250 1
Na24 0.715 0.508 0.801 1
Na25 0.718 0.968 0.750 1
Na26 0.793 0.086 0.301 1
Na27 0.866 0.116 0.750 1
Na28 0.869 0.626 0.758 1
Na29 0.874 0.133 0.243 1
Na30 0.875 0.625 0.250 1
Na31 0.962 0.212 0.750 1
Na32 0.992 0.293 0.207 1
Cu1 0.047 0.077 0.211 1
Cu2 0.052 0.349 0.493 1
Cu3 0.059 0.552 0.203 1
Cu4 0.151 0.145 0.703 1
Cu5 0.336 0.547 0.470 1
Cu6 0.355 0.559 0.007 1
Cu7 0.366 0.836 0.289 1
Cu8 0.423 0.134 0.970 1
Cu9 0.577 0.866 0.030 1
Cu10 0.634 0.164 0.711 1
Cu11 0.645 0.441 0.993 1
Cu12 0.664 0.453 0.530 1
Cu13 0.849 0.855 0.297 1
Cu14 0.941 0.448 0.797 1
Cu15 0.948 0.651 0.507 1
Cu16 0.953 0.923 0.789 1
S1 0.069 0.074 0.470 1
S2 0.097 0.095 0.028 1
S3 0.099 0.569 0.495 1
S4 0.104 0.599 0.030 1
S5 0.188 0.254 0.453 1
S6 0.235 0.688 0.434 1
S7 0.246 0.199 0.934 1
S8 0.301 0.735 0.047 1
S9 0.405 0.933 0.001 1
S10 0.426 0.396 0.995 1
S11 0.431 0.403 0.499 1
S12 0.433 0.931 0.528 1
S13 0.567 0.069 0.472 1
S14 0.569 0.597 0.501 1
S15 0.574 0.604 0.005 1
S16 0.595 0.067 0.999 1
S17 0.699 0.265 0.953 1
S18 0.754 0.801 0.066 1
S19 0.765 0.312 0.566 1
S20 0.812 0.746 0.547 1
S21 0.896 0.401 0.970 1
S22 0.901 0.431 0.505 1
S23 0.903 0.905 0.972 1
S24 0.931 0.926 0.530 1
```

Properties
- size of the total moment (μB per formula unit) = 0.00
- mass density (g/cm3) = 2.62
- space group = I4_1/a (88)
- raw formation energy (meV per atom) = -788.1



First-principles (PBEsol) data for a relaxed Na3Cu4S4 crystal, as listed in Alexandria via LeMat-Bulk.

Cell and atoms, written as CIF:
```
data_Na3Cu4S4
_chemical_formula_sum 'Na6 Cu8 S8'
_symmetry_space_group_name_H-M 'P 1'
_symmetry_Int_Tables_number 1
_cell_length_a 7.245
_cell_length_b 14.259
_cell_length_c 3.658
_cell_angle_alpha 90.00
_cell_angle_beta 90.00
_cell_angle_gamma 90.00
loop_
_symmetry_equiv_pos_as_xyz
'x,y,z'
loop_
_atom_site_label
_atom_site_fract_x
_atom_site_fract_y
_atom_site_fract_z
_atom_site_occupancy
Na1 0.000 0.000 0.000 1
Na2 0.037 0.238 0.500 1
Na3 0.463 0.738 0.500 1
Na4 0.500 0.500 0.000 1
Na5 0.537 0.262 0.500 1
Na6 0.963 0.762 0.500 1
Cu1 0.089 0.416 0.000 1
Cu2 0.163 0.554 0.500 1
Cu3 0.337 0.054 0.500 1
Cu4 0.411 0.916 0.000 1
Cu5 0.589 0.084 0.000 1
Cu6 0.663 0.946 0.500 1
Cu7 0.837 0.446 0.500 1
Cu8 0.911 0.584 0.000 1
S1 0.201 0.647 0.000 1
S2 0.234 0.904 0.500 1
S3 0.266 0.404 0.500 1
S4 0.299 0.147 0.000 1
S5 0.701 0.853 0.000 1
S6 0.734 0.596 0.500 1
S7 0.766 0.096 0.500 1
S8 0.799 0.353 0.000 1
```

Properties
- size of the total moment (μB per formula unit) = 0.00
- mass density (g/cm3) = 3.97
- space group = Pbam (55)
- raw formation energy (meV per atom) = -637.8



First-principles (PBEsol) data for a relaxed Na7Cu12S10 crystal, as listed in Alexandria via LeMat-Bulk.

Cell and atoms, written as CIF:
```
data_Na7Cu12S10
_chemical_formula_sum 'Na14 Cu24 S20'
_symmetry_space_group_name_H-M 'P 1'
_symmetry_Int_Tables_number 1
_cell_length_a 15.956
_cell_length_b 3.724
_cell_length_c 16.008
_cell_angle_alpha 90.00
_cell_angle_beta 90.23
_cell_angle_gamma 90.00
loop_
_symmetry_equiv_pos_as_xyz
'x,y,z'
loop_
_atom_site_label
_atom_site_fract_x
_atom_site_fract_y
_atom_site_fract_z
_atom_site_occupancy
Na1 0.000 0.000 0.000 1
Na2 0.105 0.500 0.696 1
Na3 0.185 0.500 0.894 1
Na4 0.220 0.000 0.405 1
Na5 0.298 0.000 0.604 1
Na6 0.302 0.500 0.083 1
Na7 0.381 0.500 0.290 1
Na8 0.500 0.000 0.000 1
Na9 0.619 0.500 0.710 1
Na10 0.698 0.500 0.917 1
Na11 0.702 0.000 0.396 1
Na12 0.780 0.000 0.595 1
Na13 0.815 0.500 0.106 1
Na14 0.895 0.500 0.304 1
Cu1 0.010 0.000 0.420 1
Cu2 0.025 0.500 0.154 1
Cu3 0.054 0.000 0.267 1
Cu4 0.087 0.500 0.498 1
Cu5 0.148 0.000 0.134 1
Cu6 0.174 0.500 0.246 1
Cu7 0.314 0.000 0.803 1
Cu8 0.388 0.500 0.888 1
Cu9 0.413 0.500 0.721 1
Cu10 0.428 0.000 0.450 1
Cu11 0.454 0.500 0.566 1
Cu12 0.483 0.000 0.804 1
Cu13 0.517 0.000 0.196 1
Cu14 0.546 0.500 0.434 1
Cu15 0.572 0.000 0.550 1
Cu16 0.587 0.500 0.279 1
Cu17 0.612 0.500 0.112 1
Cu18 0.686 0.000 0.197 1
Cu19 0.826 0.500 0.754 1
Cu20 0.852 0.000 0.866 1
Cu21 0.913 0.500 0.502 1
Cu22 0.946 0.000 0.733 1
Cu23 0.975 0.500 0.846 1
Cu24 0.990 0.000 0.580 1
S1 0.056 0.000 0.824 1
S2 0.077 0.500 0.354 1
S3 0.126 0.500 0.057 1
S4 0.130 0.000 0.561 1
S5 0.256 0.000 0.231 1
S6 0.273 0.500 0.735 1
S7 0.325 0.000 0.944 1
S8 0.348 0.500 0.471 1
S9 0.470 0.500 0.136 1
S10 0.477 0.000 0.656 1
S11 0.523 0.000 0.344 1
S12 0.530 0.500 0.864 1
S13 0.652 0.500 0.529 1
S14 0.675 0.000 0.056 1
S15 0.727 0.500 0.265 1
S16 0.744 0.000 0.769 1
S17 0.870 0.000 0.439 1
S18 0.874 0.500 0.943 1
S19 0.923 0.500 0.646 1
S20 0.944 0.000 0.176 1
```

Properties
- size of the total moment (μB per formula unit) = 0.00
- mass density (g/cm3) = 4.34
- space group = P2/m (10)
- raw formation energy (meV per atom) = -573.7